(1)
Material: TbPmScCu
Method: DFT, GGA-PBE
State: relaxed

Cell lengths 5.2115, 5.2115, 5.2115 Å; angles 60.00, 60.00, 60.00 degrees
Element x y z (fractional)
Sc 0.7500 0.7500 0.7500
Tb 0.5000 0.5000 0.5000
Cu 0.2500 0.2500 0.2500
Pm 0.0000 0.0000 0.0000

The space group is F-43m. The calculation puts the formation energy at 0.13 eV/atom. The total energy comes out at -19.28 eV/cell.

(2)
Material: SrNbIr3
Method: DFT, GGA-PBE
State: relaxed

Cell lengths 4.8699, 4.8699, 4.8699 Å; angles 90.00, 90.00, 90.00 degrees
Element x y z (fractional)
Sr 0.5000 0.5000 0.5000
Nb 0.0000 0.0000 0.0000
Ir 0.0000 0.5000 0.0000
Ir 0.0000 0.0000 0.5000
Ir 0.5000 0.0000 0.0000

The space group is Pm-3m. The calculation puts the formation energy at 0.61 eV/atom. The total energy comes out at -35.31 eV/cell.

(3)
Material: LiAcSi2
Method: DFT, GGA-PBE
State: relaxed

Cell lengths 3.6034, 3.6034, 6.6754 Å; angles 90.00, 90.00, 90.00 degrees
Element x y z (fractional)
Ac 0.5000 0.5000 0.5000
Si 0.0000 0.0000 0.8219
Si 0.0000 0.0000 0.1781
Li 0.5000 0.5000 0.0000

The space group is P4/mmm. The total energy comes out at -17.52 eV/cell. For the uncorrected formation energy, the calculation gives -164 meV per atom.

(4)
Material: Ac4PPdS2
Method: DFT, GGA-PBE
State: relaxed

Cell lengths 4.3502, 7.5962, 7.6535 Å; angles 71.13, 90.00, 90.00 degrees
Element x y z (fractional)
Ac 0.0000 0.7490 0.7479
Ac 0.0000 0.2510 0.2521
Ac 0.5000 0.7485 0.2551
Ac 0.5000 0.2515 0.7449
P 0.0000 0.5000 0.5000
Pd 0.5000 0.5000 0.0000
S 0.0000 0.0000 0.0000
S 0.5000 0.0000 0.5000

The space group is P2/m. The total energy comes out at -47.51 eV/cell. For the uncorrected formation energy, the calculation gives -1528 meV per atom.

(5)
Material: CaTc
Method: DFT, GGA-PBE
State: relaxed

Cell lengths 3.7804, 4.2084, 4.9165 Å; angles 90.00, 90.00, 90.00 degrees
Element x y z (fractional)
Ca 0.5000 0.0000 0.5000
Ca 0.0000 0.5000 0.5000
Tc 0.0000 0.0000 0.0000
Tc 0.5000 0.5000 0.0000

The space group is Cmmm. The calculation puts the formation energy at 0.74 eV/atom. The total energy comes out at -21.77 eV/cell.

(6)
Material: BaSm3B4O12
Method: DFT, GGA-PBE
State: relaxed

Cell lengths 6.7667, 6.7667, 6.7667 Å; angles 101.38, 101.38, 101.38 degrees
Site moments in Bohr magnetons follow the coordinates.
Element x y z (fractional)
Ba 0.0000 0.0000 0.0000  0.00
Sm 0.5395 0.4605 0.0000  0.00
Sm 0.4605 0.0000 0.5395  0.00
Sm 0.0000 0.5395 0.4605  0.00
B 0.9597 0.0403 0.5000  -0.01
B 0.0403 0.5000 0.9597  -0.01
B 0.5000 0.9597 0.0403  -0.01
B 0.5000 0.5000 0.5000  0.00
O 0.5000 0.3672 0.6328  0.04
O 0.9073 0.5000 0.0927  0.07
O 0.0927 0.9073 0.5000  0.07
O 0.5000 0.0927 0.9073  0.07
O 0.3898 0.9813 0.1904  0.10
O 0.1904 0.3898 0.9813  0.10
O 0.9813 0.1904 0.3898  0.10
O 0.6102 0.8096 0.0187  0.10
O 0.0187 0.6102 0.8096  0.10
O 0.8096 0.0187 0.6102  0.10
O 0.6328 0.5000 0.3672  0.04
O 0.3672 0.6328 0.5000  0.04

The space group is R32. The total energy comes out at -159.77 eV/cell. For the uncorrected formation energy, the calculation gives -2874 meV per atom.

(7)
Material: ScCd3Hg
Method: DFT, GGA-PBE
State: relaxed

Cell lengths 5.2718, 5.2718, 5.2718 Å; angles 90.00, 90.00, 90.00 degrees
Element x y z (fractional)
Sc 0.5000 0.5000 0.5000
Hg 0.0000 0.0000 0.0000
Cd 0.0000 0.5000 0.0000
Cd 0.0000 0.0000 0.5000
Cd 0.5000 0.0000 0.0000

The space group is Pm-3m. The calculation puts the formation energy at 0.49 eV/atom. The total energy comes out at -6.94 eV/cell.

(8)
Material: CsAs2IrO8
Method: DFT, GGA-PBE
State: relaxed

Cell lengths 5.0339, 5.0339, 9.9777 Å; angles 75.39, 75.39, 60.00 degrees
Site moments in Bohr magnetons follow the coordinates.
Element x y z (fractional)
Cs 0.5000 0.5000 0.5000  0.00
As 0.2724 0.2724 0.1827  0.00
As 0.7276 0.7276 0.8173  0.00
Ir 0.0000 0.0000 0.0000  1.00
O 0.2142 0.2142 0.3574  0.04
O 0.6345 0.2694 0.1208  0.11
O 0.7858 0.7858 0.6426  0.04
O 0.9753 0.6345 0.1208  0.11
O 0.0247 0.3655 0.8792  0.11
O 0.2694 0.9753 0.1208  0.11
O 0.7306 0.0247 0.8792  0.11
O 0.3655 0.7306 0.8792  0.11

The space group is R-3. The total energy comes out at -72.00 eV/cell. For the uncorrected formation energy, the calculation gives -1110 meV per atom.

(9)
Material: TiCl
Method: DFT, GGA-PBE
State: relaxed

Cell lengths 5.6381, 5.9008, 8.5597 Å; angles 90.00, 90.00, 90.00 degrees
Element x y z (fractional)
Ti 0.5971 0.1984 0.0291
Ti 0.0971 0.3016 0.9709
Ti 0.4029 0.6984 0.4709
Ti 0.9029 0.8016 0.5291
Ti 0.4416 0.9344 0.7529
Ti 0.9416 0.5656 0.2471
Ti 0.5584 0.4344 0.7471
Ti 0.0584 0.0656 0.2529
Cl 0.2717 0.9150 0.0197
Cl 0.7717 0.5850 0.9803
Cl 0.7283 0.4150 0.4803
Cl 0.2283 0.0850 0.5197
Cl 0.1709 0.5953 0.7094
Cl 0.6709 0.9047 0.2906
Cl 0.8291 0.0953 0.7906
Cl 0.3291 0.4047 0.2094

The space group is P2_12_12_1. The total energy comes out at -87.99 eV/cell. For the uncorrected formation energy, the calculation gives -629 meV per atom.

(10)
Material: LaZn2Pt
Method: DFT, GGA-PBE
State: relaxed

Cell lengths 3.3559, 3.3661, 6.9824 Å; angles 90.00, 90.00, 90.00 degrees
Element x y z (fractional)
La 0.5000 0.5000 0.2500
Pt 0.5000 0.5000 0.7500
Zn 0.0000 0.0000 0.9353
Zn 0.0000 0.0000 0.5647

The space group is Pmmm. The calculation puts the formation energy at -0.43 eV/atom. The total energy comes out at -15.22 eV/cell.

DOS(E_F), respectively: 0.92 0.76 0.97 0.64 0.91 0.57 1.00 0.45 0.92 0.61 states/eV per atom.